# 1
This record from Alexandria describes an optimized crystal structure of PIr2C. The functional is PBE-GGA. Values from VASP.

Values from the calculation:
* symmetry: Fm-3m
* E above lowest polymorph: 3.66 eV per formula unit
* energy of formation: 974 meV/atom

Cell and atoms, written as Quantum ESPRESSO input:
```
&SYSTEM
  ibrav = 0, nat = 4, ntyp = 3
/
ATOMIC_SPECIES
C 12.01 C.upf
P 30.97 P.upf
Ir 192.22 Ir.upf
ATOMIC_POSITIONS crystal
C 0.0000 0.0000 0.0000
P 0.5000 0.5000 0.5000
Ir 0.7500 0.7500 0.7500
Ir 0.2500 0.2500 0.2500
CELL_PARAMETERS angstrom
3.2942 -2.2169 -0.9160
0.7077 -3.5027 1.9584
-0.4128 -3.5491 -1.9592
```

# 2
This record from Alexandria describes an optimized crystal structure of PIr3C. The functional is PBE-GGA. Values from VASP.

Values from the calculation:
* symmetry: Pm-3m
* E above lowest polymorph: 0.00 eV per formula unit
* energy of formation: 742 meV/atom

Cell and atoms, written as Quantum ESPRESSO input:
```
&SYSTEM
  ibrav = 0, nat = 5, ntyp = 3
/
ATOMIC_SPECIES
Ir 192.22 Ir.upf
C 12.01 C.upf
P 30.97 P.upf
ATOMIC_POSITIONS crystal
Ir 0.5000 0.0000 0.0000
Ir 0.0000 0.5000 0.0000
Ir 0.0000 0.0000 0.5000
C 0.0000 0.0000 0.0000
P 0.5000 0.5000 0.5000
CELL_PARAMETERS angstrom
4.1041 0.0000 0.0000
0.0000 4.1041 0.0000
0.0000 0.0000 4.1041
```

# 3
This record from Alexandria describes an optimized crystal structure of PIrC. The functional is PBE-GGA. Values from VASP.

Values from the calculation:
* symmetry: Cm
* E above lowest polymorph: 0.68 eV per formula unit
* energy of formation: 401 meV/atom

Cell and atoms, written as Quantum ESPRESSO input:
```
&SYSTEM
  ibrav = 0, nat = 3, ntyp = 3
/
ATOMIC_SPECIES
P 30.97 P.upf
C 12.01 C.upf
Ir 192.22 Ir.upf
ATOMIC_POSITIONS crystal
P 0.0295 0.3520 0.6833
C 0.8424 0.2972 0.1136
Ir 0.4433 0.8459 0.3619
CELL_PARAMETERS angstrom
2.8275 0.0093 0.0017
1.4029 3.3156 0.0300
1.4088 0.7141 4.0722
```

# 4
This record from Alexandria describes an optimized crystal structure of PIrC. The functional is PBE-GGA. Values from VASP.

Values from the calculation:
* symmetry: P1
* E above lowest polymorph: 1.08 eV per formula unit
* energy of formation: 536 meV/atom

Cell and atoms, written as Quantum ESPRESSO input:
```
&SYSTEM
  ibrav = 0, nat = 3, ntyp = 3
/
ATOMIC_SPECIES
P 30.97 P.upf
C 12.01 C.upf
Ir 192.22 Ir.upf
ATOMIC_POSITIONS crystal
P 0.2834 0.0863 0.7413
C 0.2987 0.6702 0.1235
Ir 0.9130 0.2743 0.2941
CELL_PARAMETERS angstrom
-2.1997 -1.4776 1.9817
-2.5912 -1.9340 -1.5230
0.7329 -4.1839 0.4703
```

no.,total energy (eV per cell),D(E_F) (states/eV per cell)
1,-28.46,3.90
2,-37.51,3.39
3,-22.29,0.52
4,-21.89,1.53